Density functional theory data (PBEsol) for LaCuOF2 after structural relaxation.

Cell lengths 3.933, 4.004, 4.004 Å; angles 90.00, 90.00, 90.00 degrees
Sites, in units of the cell vectors:
F  0.000  0.000  0.500
F  0.000  0.500  0.000
O  0.500  0.000  0.000
Cu  0.000  0.000  0.000
La  0.500  0.500  0.500

**DFT total energy**: -5.97 eV per atom
**Theoretical density**: 6.75 g/cm³
**Space group**: P4/mmm (123)
**Total moment**: 0.0 μB/f.u.

Density functional theory data (PBEsol) for La2TiCuF after structural relaxation.

Cell lengths 3.990, 5.091, 5.091 Å; angles 90.00, 90.00, 90.00 degrees
Sites, in units of the cell vectors:
F  0.000  0.000  0.000
Ti  0.500  0.000  0.000
Cu  0.500  0.500  0.500
La  0.000  0.000  0.500
La  0.000  0.500  0.000

**DFT total energy**: -5.75 eV per atom
**Theoretical density**: 6.56 g/cm³
**Space group**: P4/mmm (123)
**Total moment**: 0.0 μB/f.u.

Density functional theory data (PBEsol) for LaYCu2F after structural relaxation.

Cell lengths 4.131, 5.103, 5.103 Å; angles 90.00, 90.00, 90.00 degrees
Sites, in units of the cell vectors:
Y  0.500  0.000  0.000
F  0.000  0.000  0.000
Cu  0.000  0.000  0.500
Cu  0.000  0.500  0.000
La  0.500  0.500  0.500

**DFT total energy**: -5.11 eV per atom
**Theoretical density**: 5.77 g/cm³
**Space group**: P4/mmm (123)
**Total moment**: 0.0 μB/f.u.

Density functional theory data (PBEsol) for LiCuF3 after structural relaxation.

Cell lengths 5.037, 5.037, 5.445 Å; angles 62.45, 62.45, 60.00 degrees
Each line ends with the local moment (μB).
Sites, in units of the cell vectors:
Li  0.808  0.808  0.577  0.00
Li  0.308  0.308  0.077  0.00
Cu  0.510  0.510  0.469  0.74
Cu  0.010  0.010  0.969  0.74
F  0.112  0.408  0.748  0.09
F  0.231  0.908  0.248  0.09
F  0.612  0.231  0.248  0.09
F  0.408  0.731  0.748  0.09
F  0.731  0.112  0.748  0.09
F  0.908  0.612  0.248  0.09

**DFT total energy**: -4.49 eV per atom
**Theoretical density**: 4.19 g/cm³
**Space group**: R3c (161)
**Total moment**: 1.0 μB/f.u.

Density functional theory data (PBEsol) for Li2Cu2F7 after structural relaxation.

Cell lengths 3.863, 5.175, 12.928 Å; angles 90.00, 98.59, 90.00 degrees
Each line ends with the local moment (μB).
Sites, in units of the cell vectors:
Li  0.578  0.571  0.157  0.00
Li  0.731  0.036  0.463  0.00
Li  0.269  0.536  0.537  0.00
Li  0.422  0.071  0.843  0.00
Cu  0.949  0.473  0.898  -0.67
Cu  0.841  0.951  0.682  0.69
Cu  0.159  0.451  0.318  0.69
Cu  0.051  0.973  0.102  -0.67
F  0.984  0.802  0.968  -0.12
F  0.906  0.154  0.813  0.01
F  0.885  0.662  0.770  -0.01
F  0.796  0.234  0.592  0.11
F  0.651  0.458  0.302  0.08
F  0.553  0.927  0.106  -0.09
F  0.780  0.742  0.560  0.10
F  0.220  0.242  0.440  0.10
F  0.447  0.427  0.894  -0.09
F  0.349  0.958  0.698  0.08
F  0.204  0.734  0.408  0.11
F  0.094  0.654  0.187  0.01
F  0.115  0.162  0.230  -0.01
F  0.016  0.302  0.032  -0.12

**DFT total energy**: -4.32 eV per atom
**Theoretical density**: 3.56 g/cm³
**Space group**: Cmc2_1 (36)
**Total moment**: 0.1 μB/f.u.

Density functional theory data (PBEsol) for Li2Cu3F8 after structural relaxation.

Cell lengths 6.037, 6.037, 8.963 Å; angles 89.71, 89.71, 117.43 degrees
Each line ends with the local moment (μB).
Sites, in units of the cell vectors:
Li  0.681  0.353  0.469  0.00
Li  0.672  0.336  0.088  0.00
Li  0.353  0.681  0.969  0.00
Li  0.336  0.672  0.588  0.00
Cu  0.837  0.664  0.752  0.72
Cu  0.334  0.160  0.746  0.71
Cu  0.158  0.839  0.255  0.71
Cu  0.839  0.158  0.755  0.71
Cu  0.664  0.837  0.252  0.72
Cu  0.160  0.334  0.246  0.71
F  0.783  0.653  0.364  0.08
F  0.470  0.444  0.619  0.07
F  0.983  0.524  0.618  0.07
F  0.721  0.354  0.873  0.10
F  0.970  0.953  0.136  0.15
F  0.303  0.151  0.354  0.15
F  0.538  0.043  0.633  0.12
F  0.212  0.862  0.858  0.08
F  0.862  0.212  0.358  0.08
F  0.524  0.983  0.118  0.07
F  0.043  0.538  0.133  0.12
F  0.354  0.721  0.373  0.10
F  0.953  0.970  0.636  0.15
F  0.653  0.783  0.864  0.08
F  0.444  0.470  0.119  0.07
F  0.151  0.303  0.854  0.15

**DFT total energy**: -4.39 eV per atom
**Theoretical density**: 4.08 g/cm³
**Space group**: Cc (9)
**Total moment**: 3.0 μB/f.u.

Density functional theory data (PBEsol) for Li2Cu3F8 after structural relaxation.

Cell lengths 8.344, 8.344, 8.344 Å; angles 90.00, 90.00, 90.00 degrees
Each line ends with the local moment (μB).
Sites, in units of the cell vectors:
Li  0.013  0.487  0.513  0.00
Li  0.237  0.737  0.763  0.00
Li  0.263  0.263  0.263  0.00
Li  0.487  0.513  0.013  0.00
Li  0.513  0.013  0.487  0.00
Li  0.737  0.763  0.237  0.00
Li  0.763  0.237  0.737  0.00
Li  0.987  0.987  0.987  0.00
Cu  0.103  0.625  0.147  0.73
Cu  0.125  0.353  0.897  0.73
Cu  0.147  0.103  0.625  0.73
Cu  0.353  0.897  0.125  0.73
Cu  0.375  0.647  0.397  0.73
Cu  0.397  0.375  0.647  0.73
Cu  0.603  0.875  0.853  0.73
Cu  0.625  0.147  0.103  0.73
Cu  0.647  0.397  0.375  0.73
Cu  0.853  0.603  0.875  0.73
Cu  0.875  0.853  0.603  0.73
Cu  0.897  0.125  0.353  0.73
F  0.107  0.867  0.629  0.10
F  0.106  0.606  0.894  0.08
F  0.121  0.117  0.857  0.10
F  0.133  0.129  0.393  0.10
F  0.117  0.857  0.121  0.10
F  0.129  0.393  0.133  0.10
F  0.144  0.356  0.644  0.08
F  0.143  0.621  0.383  0.10
F  0.357  0.379  0.883  0.10
F  0.356  0.644  0.144  0.08
F  0.371  0.607  0.633  0.10
F  0.383  0.143  0.621  0.10
F  0.367  0.871  0.893  0.10
F  0.379  0.883  0.357  0.10
F  0.394  0.394  0.394  0.08
F  0.393  0.133  0.129  0.10
F  0.607  0.633  0.371  0.10
F  0.606  0.894  0.106  0.08
F  0.621  0.383  0.143  0.10
F  0.633  0.371  0.607  0.10
F  0.617  0.643  0.879  0.10
F  0.629  0.107  0.867  0.10
F  0.644  0.144  0.356  0.08
F  0.643  0.879  0.617  0.10
F  0.857  0.121  0.117  0.10
F  0.856  0.856  0.856  0.08
F  0.871  0.893  0.367  0.10
F  0.883  0.357  0.379  0.10
F  0.867  0.629  0.107  0.10
F  0.879  0.617  0.643  0.10
F  0.894  0.106  0.606  0.08
F  0.893  0.367  0.871  0.10

**DFT total energy**: -4.38 eV per atom
**Theoretical density**: 4.08 g/cm³
**Space group**: P4_332 (212)
**Total moment**: 3.0 μB/f.u.

Density functional theory data (PBEsol) for LiCu2F5 after structural relaxation.

Cell lengths 3.059, 10.026, 12.847 Å; angles 90.00, 90.00, 90.00 degrees
Each line ends with the local moment (μB).
Sites, in units of the cell vectors:
Li  0.116  0.250  0.239  0.00
Li  0.616  0.750  0.261  0.00
Li  0.384  0.250  0.739  0.00
Li  0.884  0.750  0.761  0.00
Cu  0.680  0.410  0.078  0.69
Cu  0.680  0.090  0.078  0.69
Cu  0.180  0.910  0.422  0.69
Cu  0.180  0.590  0.422  0.69
Cu  0.820  0.410  0.578  0.69
Cu  0.820  0.090  0.578  0.69
Cu  0.320  0.910  0.922  0.69
Cu  0.320  0.590  0.922  0.69
F  0.043  0.250  0.067  0.13
F  0.282  0.940  0.069  0.13
F  0.282  0.560  0.069  0.13
F  0.611  0.376  0.217  0.09
F  0.611  0.124  0.217  0.09
F  0.111  0.876  0.283  0.09
F  0.111  0.624  0.283  0.09
F  0.782  0.440  0.431  0.13
F  0.782  0.060  0.431  0.13
F  0.543  0.750  0.433  0.13
F  0.457  0.250  0.567  0.13
F  0.218  0.940  0.569  0.13
F  0.218  0.560  0.569  0.13
F  0.889  0.376  0.717  0.09
F  0.889  0.124  0.717  0.09
F  0.389  0.876  0.783  0.09
F  0.389  0.624  0.783  0.09
F  0.718  0.440  0.931  0.13
F  0.718  0.060  0.931  0.13
F  0.957  0.750  0.933  0.13

**DFT total energy**: -4.29 eV per atom
**Theoretical density**: 3.86 g/cm³
**Space group**: Pnma (62)
**Total moment**: 2.0 μB/f.u.

Density functional theory data (PBEsol) for LiCuF3 after structural relaxation.

Cell lengths 5.071, 5.213, 7.711 Å; angles 89.07, 87.18, 86.12 degrees
Each line ends with the local moment (μB).
Sites, in units of the cell vectors:
Li  0.993  0.052  0.730  0.00
Li  0.489  0.536  0.771  0.00
Li  0.511  0.464  0.229  0.00
Li  0.007  0.948  0.270  0.00
Cu  0.000  0.500  0.500  0.72
Cu  0.000  0.500  0.000  0.76
Cu  0.500  0.000  0.500  0.73
Cu  0.500  0.000  0.000  0.68
F  0.826  0.821  0.907  0.11
F  0.838  0.833  0.555  0.11
F  0.856  0.597  0.225  0.08
F  0.697  0.342  0.597  0.08
F  0.659  0.310  0.945  0.08
F  0.641  0.102  0.277  0.08
F  0.359  0.898  0.723  0.08
F  0.341  0.690  0.055  0.08
F  0.303  0.658  0.403  0.08
F  0.144  0.403  0.775  0.08
F  0.162  0.167  0.445  0.11
F  0.174  0.179  0.093  0.11

**DFT total energy**: -4.48 eV per atom
**Theoretical density**: 4.17 g/cm³
**Space group**: P-1 (2)
**Total moment**: 1.0 μB/f.u.

Density functional theory data (PBEsol) for Li2Cu2F7 after structural relaxation.

Cell lengths 7.002, 7.002, 7.002 Å; angles 60.00, 60.00, 60.00 degrees
Each line ends with the local moment (μB).
Sites, in units of the cell vectors:
Li  0.625  0.125  0.625  0.00
Li  0.625  0.625  0.125  0.00
Li  0.125  0.625  0.625  0.00
Li  0.625  0.625  0.625  0.00
Cu  0.125  0.125  0.125  0.93
Cu  0.625  0.125  0.125  0.93
Cu  0.125  0.125  0.625  0.93
Cu  0.125  0.625  0.125  0.93
F  0.796  0.204  0.204  0.16
F  0.796  0.204  0.796  0.16
F  0.204  0.204  0.796  0.16
F  0.046  0.454  0.454  0.16
F  0.796  0.796  0.204  0.16
F  0.500  0.500  0.500  0.02
F  0.046  0.454  0.046  0.16
F  0.204  0.796  0.204  0.16
F  0.750  0.750  0.750  0.02
F  0.454  0.454  0.046  0.16
F  0.204  0.796  0.796  0.16
F  0.046  0.046  0.454  0.16
F  0.454  0.046  0.454  0.16
F  0.454  0.046  0.046  0.16

**DFT total energy**: -4.32 eV per atom
**Theoretical density**: 3.75 g/cm³
**Space group**: Fd-3m (227)
**Total moment**: 2.9 μB/f.u.

Density functional theory data (PBEsol) for Li2CuF6 after structural relaxation.

Cell lengths 4.561, 4.561, 8.743 Å; angles 90.00, 90.00, 90.00 degrees
Each line ends with the local moment (μB).
Sites, in units of the cell vectors:
Li  0.500  0.500  0.337  0.00
Li  0.500  0.500  0.663  0.00
Li  0.000  0.000  0.163  0.00
Li  0.000  0.000  0.837  0.00
Cu  0.500  0.500  0.000  0.49
Cu  0.000  0.000  0.500  0.49
F  0.689  0.311  0.156  0.07
F  0.689  0.311  0.844  0.07
F  0.712  0.288  0.500  0.10
F  0.788  0.788  0.000  0.10
F  0.811  0.811  0.344  0.07
F  0.811  0.811  0.656  0.07
F  0.189  0.189  0.344  0.07
F  0.189  0.189  0.656  0.07
F  0.212  0.212  0.000  0.10
F  0.288  0.712  0.500  0.10
F  0.311  0.689  0.156  0.07
F  0.311  0.689  0.844  0.07

**DFT total energy**: -4.15 eV per atom
**Theoretical density**: 3.49 g/cm³
**Space group**: P4_2/mnm (136)
**Total moment**: 1.0 μB/f.u.

Density functional theory data (PBEsol) for Li2CuF5 after structural relaxation.

Cell lengths 3.828, 5.239, 9.583 Å; angles 90.00, 90.00, 111.43 degrees
Each line ends with the local moment (μB).
Sites, in units of the cell vectors:
Li  0.366  0.732  0.430  0.00
Li  0.366  0.732  0.070  0.00
Li  0.634  0.268  0.930  0.00
Li  0.634  0.268  0.570  0.00
Cu  0.309  0.619  0.750  0.67
Cu  0.691  0.381  0.250  0.67
F  0.443  0.886  0.887  0.09
F  0.443  0.886  0.613  0.09
F  0.215  0.429  0.250  0.07
F  0.181  0.363  0.898  0.10
F  0.181  0.363  0.602  0.10
F  0.819  0.637  0.398  0.10
F  0.819  0.637  0.102  0.10
F  0.785  0.571  0.750  0.07
F  0.557  0.114  0.387  0.09
F  0.557  0.114  0.113  0.09

**DFT total energy**: -4.40 eV per atom
**Theoretical density**: 3.20 g/cm³
**Space group**: Cmcm (63)
**Total moment**: 1.1 μB/f.u.